1.
The following is a PBE calculation of crystalline MgUGaHg at its relaxed geometry, from Alexandria.

a = 7.0944 Å, b = 7.0944 Å, c = 7.0944 Å
α = 90.00°, β = 90.00°, γ = 90.00°
Space group F-43m (No. 216)
Symmetry-distinct sites (fractional):
1 Mg 0.0000 0.0000 0.0000 x4
2 U 0.0000 0.0000 0.5000 x4
3 Ga 0.2500 0.2500 0.7500 x4
4 Hg 0.2500 0.2500 0.2500 x4

Calculated values
For the formation energy from the elements, the calculation gives 11.2 meV/atom. Its size of the total moment is 11.2 μB per cell.



2.
The following is a PBE calculation of crystalline YMgGaHg at its relaxed geometry, from Alexandria.

a = 7.0987 Å, b = 7.0987 Å, c = 7.0987 Å
α = 90.00°, β = 90.00°, γ = 90.00°
Space group F-43m (No. 216)
Symmetry-distinct sites (fractional):
1 Y 0.0000 0.0000 0.0000 x4
2 Mg 0.0000 0.0000 0.5000 x4
3 Ga 0.2500 0.2500 0.7500 x4
4 Hg 0.2500 0.2500 0.2500 x4

Calculated values
For the formation energy from the elements, the calculation gives -441.7 meV/atom. Its size of the total moment is 0.0 μB per cell.



3.
The following is a PBE calculation of crystalline Mg2ZnGaHg at its relaxed geometry, from Alexandria.

a = 6.9192 Å, b = 4.2252 Å, c = 7.6600 Å
α = 90.00°, β = 115.98°, γ = 90.00°
Space group P2_1/m (No. 11)
Symmetry-distinct sites (fractional):
1 Mg 0.1601 0.2500 0.1989 x2
2 Mg 0.2004 0.7500 0.5806 x2
3 Zn 0.3868 0.7500 0.0349 x2
4 Ga 0.4887 0.7500 0.3973 x2
5 Hg 0.1404 0.2500 0.8097 x2

Calculated values
For the formation energy from the elements, the calculation gives -121.9 meV/atom. Its size of the total moment is 0.0 μB per cell.



4.
The following is a PBE calculation of crystalline MgZnGaHg at its relaxed geometry, from Alexandria.

a = 6.8168 Å, b = 6.8168 Å, c = 6.8168 Å
α = 90.00°, β = 90.00°, γ = 90.00°
Space group F-43m (No. 216)
Symmetry-distinct sites (fractional):
1 Mg 0.0000 0.0000 0.0000 x4
2 Zn 0.0000 0.0000 0.5000 x4
3 Ga 0.2500 0.2500 0.7500 x4
4 Hg 0.2500 0.2500 0.2500 x4

Calculated values
For the formation energy from the elements, the calculation gives -15.8 meV/atom. Its size of the total moment is 0.0 μB per cell.



5.
The following is a PBE calculation of crystalline Mg2ZnGaHg8 at its relaxed geometry, from Alexandria.

a = 6.3255 Å, b = 6.3255 Å, c = 8.3016 Å
α = 90.00°, β = 90.00°, γ = 120.00°
Space group P-3m1 (No. 164)
Symmetry-distinct sites (fractional):
1 Mg 0.3333 0.6667 0.4233 x2
2 Zn 0.0000 0.0000 0.5000 x1
3 Ga 0.0000 0.0000 0.0000 x1
4 Hg 0.1737 0.3475 0.7352 x6
5 Hg 0.3333 0.6667 0.0733 x2

Calculated values
For the formation energy from the elements, the calculation gives 47.1 meV/atom. Its size of the total moment is 0.0 μB per cell.



6.
The following is a PBE calculation of crystalline MnGaHg2 at its relaxed geometry, from Alexandria.

a = 4.1960 Å, b = 4.1960 Å, c = 19.6689 Å
α = 90.00°, β = 90.00°, γ = 90.00°
Space group I-42d (No. 122)
Symmetry-distinct sites (fractional):
1 Mn 0.0000 0.0000 0.0000 x4
2 Ga 0.0000 0.0000 0.5000 x4
3 Hg 0.2465 0.2500 0.1250 x8

Calculated values
For the formation energy from the elements, the calculation gives 323.0 meV/atom. Its size of the total moment is 16.0 μB per cell.



7.
The following is a PBE calculation of crystalline MnGaHg3 at its relaxed geometry, from Alexandria.

a = 5.2299 Å, b = 5.2299 Å, c = 5.2299 Å
α = 90.00°, β = 90.00°, γ = 90.00°
Space group Pm-3m (No. 221)
Symmetry-distinct sites (fractional):
1 Mn 0.0000 0.0000 0.0000 x1
2 Ga 0.5000 0.5000 0.5000 x1
3 Hg 0.0000 0.5000 0.5000 x3

Calculated values
The value obtained for the offset from the most stable computed form is 99 meV/atom. For the formation energy from the elements, the calculation gives 594.5 meV/atom. Its size of the total moment is 4.8 μB per cell.



8.
The following is a PBE calculation of crystalline MnGa2Hg2 at its relaxed geometry, from Alexandria.

a = 6.6957 Å, b = 6.6957 Å, c = 4.1080 Å
α = 90.00°, β = 90.00°, γ = 90.00°
Space group P4/mbm (No. 127)
Symmetry-distinct sites (fractional):
1 Mn 0.0000 0.0000 0.0000 x2
2 Ga 0.1565 0.3435 0.0000 x4
3 Hg 0.1603 0.6603 0.5000 x4

Calculated values
The value obtained for the offset from the most stable computed form is 209 meV/atom. For the formation energy from the elements, the calculation gives 513.0 meV/atom. Its size of the total moment is 0.0 μB per cell.



Q: Among the records above, which one has the highest formation energy from the elements?
A: MnGaHg3